[1]
PBE-GGA BaLi2Tl2, relaxed; magnetization = 0.00 μB per atom; space-group type = No. 139; formation enthalpy at 0 K = -0.230 eV per atom; energy above the lowest structure with this stoichiometry = 0.241 eV per formula unit
1.0
5.395 0.000 0.000
0.000 5.395 0.000
2.698 2.698 4.996
Tl Ba Li
2 1 2
Cartesian
5.395 2.698 2.498
2.698 5.395 2.498
0.000 0.000 0.000
2.698 2.698 1.383
5.395 5.395 3.613

---

[2]
PBE-GGA SbIr, relaxed; magnetization = 0.00 μB per atom; formation energy from raw total energies = 29.0 kJ per mole of atoms; space-group type = No. 221
1.0
3.334 0.000 0.000
0.000 3.334 0.000
0.000 0.000 3.334
Ir Sb
1 1
Cartesian
0.000 0.000 0.000
1.667 1.667 1.667

---

[3]
PBE-GGA Zn4Cu15Pt, relaxed; magnetization = 0.00 μB per atom; space-group type = No. 123; formation enthalpy at 0 K = -0.073 eV per atom
1.0
-3.421 -1.321 -0.018
1.045 -2.737 2.205
-4.104 10.434 14.902
Zn Cu Pt
4 15 1
Cartesian
-0.820 2.086 2.979
-1.642 4.174 5.961
-2.463 6.260 8.940
-3.284 8.349 11.923
-1.188 -2.029 1.093
-2.019 0.084 4.111
-2.835 2.159 7.074
-3.645 4.218 10.015
-4.461 6.292 12.978
-2.130 0.407 1.515
-2.946 2.482 4.478
-3.763 4.557 7.442
-4.579 6.632 10.406
-5.395 8.707 13.369
0.103 -0.302 2.626
-0.713 1.773 5.589
-1.530 3.848 8.553
-2.346 5.924 11.517
-3.162 7.998 14.480
0.000 0.000 0.000

---

[4]
PBE-GGA HIrI2N, relaxed; magnetization = 0.17 μB per atom; space-group type = No. 123; energy above the lowest structure with this stoichiometry = 0.000 eV per formula unit
1.0
-2.645 0.703 -4.990
-5.026 -0.779 2.554
-0.238 3.616 0.636
I H Ir N
2 1 1 1
Cartesian
-2.513 -0.390 1.277
-1.323 0.352 -2.495
-3.955 1.770 -0.900
0.000 0.000 0.000
-0.119 1.808 0.318

---

[5]
PBE-GGA KTlN, relaxed; magnetization = 0.00 μB per atom; formation energy from raw total energies = 47.0 kJ per mole of atoms; space-group type = No. 1; energy above the lowest structure with this stoichiometry = 1.727 eV per formula unit
1.0
-3.508 1.329 -0.211
-2.501 -0.869 2.665
2.895 11.286 6.098
N K Tl
2 2 2
Cartesian
0.439 9.771 7.374
-0.915 5.764 4.797
-3.367 4.597 4.764
-1.510 0.827 0.280
-2.141 7.761 4.298
-1.345 10.125 5.815

---

[6]
PBE-GGA La3IrPtCl, relaxed; magnetization = 0.10 μB per atom; formation energy from raw total energies = -100.1 kJ per mole of atoms; space-group type = No. 11
1.0
4.315 0.000 0.000
0.000 8.265 1.107
0.000 -2.135 10.036
La Ir Pt Cl
6 2 2 2
Cartesian
1.079 4.768 4.909
3.236 6.969 2.199
3.236 2.903 1.875
3.236 1.363 6.233
1.079 3.227 9.268
1.079 -0.839 8.943
1.079 4.886 2.232
3.236 1.245 8.911
3.236 5.334 9.364
1.079 0.796 1.779
1.079 -0.484 6.034
3.236 6.614 5.109

---

[7]
PBE-GGA Y2VW, relaxed; magnetization = 0.58 μB per atom; space-group type = No. 122; formation enthalpy at 0 K = 1.088 eV per atom; energy above the lowest structure with this stoichiometry = 1.845 eV per formula unit
1.0
7.877 0.000 0.000
0.000 7.877 0.000
3.939 3.939 2.972
Y W V
4 2 2
Cartesian
5.836 1.969 0.743
2.042 5.908 0.743
5.908 5.980 2.229
9.847 9.774 2.229
0.000 0.000 0.000
7.877 3.939 1.486
3.939 3.939 0.000
3.939 7.877 1.486

---

[8]
PBE-GGA NaHf3In, relaxed; magnetization = 0.00 μB per atom; space-group type = No. 221; formation enthalpy at 0 K = 1.388 eV per atom; energy above the lowest structure with this stoichiometry = 0.364 eV per formula unit
1.0
4.955 0.000 0.000
0.000 4.955 0.000
0.000 0.000 4.955
Na Hf In
1 3 1
Cartesian
0.000 0.000 0.000
0.000 2.478 0.000
0.000 0.000 2.478
2.478 0.000 0.000
2.478 2.478 2.478